Compound: CeDyHo4
Source: Alexandria via LeMat-Bulk
Functional: GGA-PBE
Structure: relaxed

Cell: 3.551 6.152 17.124 Å, 96.80 90.00 90.00°
Each line ends with the local moment (μB).
Fractional coordinates of all 12 atoms:
Ce  0.500  0.000  0.500  0.66
Ce  0.000  0.000  0.000  0.66
Dy  0.000  0.500  0.500  0.03
Dy  0.500  0.500  0.000  0.03
Ho  0.500  0.613  0.333  -0.01
Ho  0.000  0.387  0.167  -0.01
Ho  0.500  0.387  0.667  -0.01
Ho  0.000  0.613  0.833  -0.01
Ho  0.000  0.109  0.334  0.00
Ho  0.500  0.891  0.166  0.00
Ho  0.000  0.891  0.666  0.00
Ho  0.500  0.109  0.834  0.00

Calculated values
Symmetry: C2/m
Formation enthalpy at 0 K, meV per atom: 23.1
Offset from the most stable computed form, eV per formula unit: 0.00


Compound: KScCr2H
Source: Alexandria via LeMat-Bulk
Functional: GGA-PBE
Structure: relaxed

Cell: 4.973 7.880 4.973 Å, 90.00 90.00 90.00°
Each line ends with the local moment (μB).
Fractional coordinates of all 5 atoms:
Sc  0.000  0.000  0.000  -0.01
Cr  0.000  0.000  0.500  3.36
Cr  0.500  0.000  0.000  3.84
K  0.000  0.500  0.000  0.01
H  0.500  0.500  0.500  0.00

Calculated values
Symmetry: P4/mmm
Total energy, eV/cell: -21.37


Compound: Mo2AsW
Source: Alexandria via LeMat-Bulk
Functional: GGA-PBE
Structure: relaxed

Cell: 8.691 8.691 8.691 Å, 19.51 19.51 19.51°
Fractional coordinates of all 4 atoms:
Mo  0.002  0.002  0.002
Mo  0.251  0.251  0.251
As  0.750  0.750  0.750
W  0.497  0.497  0.497

Calculated values
Symmetry: R3m
Formation enthalpy at 0 K, meV per atom: 346.9


Compound: LiTl4Bi
Source: Alexandria via LeMat-Bulk
Functional: GGA-PBE
Structure: relaxed

Cell: 8.037 8.037 9.051 Å, 123.42 123.42 89.24°
Fractional coordinates of all 12 atoms:
Li  0.500  0.500  0.000
Li  0.000  0.000  0.000
Tl  0.412  0.912  0.240
Tl  0.978  0.767  0.270
Tl  0.267  0.478  0.270
Tl  0.733  0.522  0.730
Tl  0.022  0.233  0.730
Tl  0.588  0.088  0.760
Tl  0.271  0.771  0.744
Tl  0.729  0.229  0.256
Bi  0.237  0.263  0.500
Bi  0.763  0.737  0.500

Calculated values
Symmetry: C2/m
Formation enthalpy at 0 K, meV per atom: -59.3
Offset from the most stable computed form, eV per formula unit: 0.00


Compound: BaEu2Pt
Source: Alexandria via LeMat-Bulk
Functional: GGA-PBE
Structure: relaxed

Cell: 4.307 4.307 10.541 Å, 78.21 78.21 60.00°
Each line ends with the local moment (μB).
Fractional coordinates of all 4 atoms:
Eu  0.718  0.718  0.847  6.83
Eu  0.282  0.282  0.153  6.83
Ba  0.500  0.500  0.500  0.01
Pt  0.000  0.000  0.000  -0.09

Calculated values
Symmetry: R-3m
Formation enthalpy at 0 K, meV per atom: -504.6
Offset from the most stable computed form, eV per formula unit: 0.00


Compound: TlInSe2
Source: Alexandria via LeMat-Bulk
Functional: GGA-PBE
Structure: relaxed

Cell: 3.133 3.133 10.705 Å, 90.00 90.00 89.95°
Fractional coordinates of all 4 atoms:
In  0.500  0.500  0.750
Se  0.000  0.000  0.997
Se  0.000  0.000  0.503
Tl  0.500  0.500  0.250

Calculated values
Symmetry: P4/mmm
Total energy, eV/cell: -11.97


Q: Which formula does entry 5 have?
A: BaEu2Pt